Entry 1:
{"formula": "Sr3VP", "functional": "PBE", "state": "relaxed", "delta_e_f_kj_per_mol_atoms": 5, "m_tot_mub_per_atom": 1.136, "total_energy_ev_per_atom": -3.858, "sg": "Pm-3m (221)", "de_polymorph_mev_per_atom": 0, "cell": [[5.851, 0.000, 0.000], [0.000, 5.851, 0.000], [0.000, 0.000, 5.851]], "species": ["Sr", "Sr", "Sr", "V", "P"], "frac_coords": [[0.000, 0.000, 0.500], [0.000, 0.500, 0.000], [0.500, 0.000, 0.000], [0.500, 0.500, 0.500], [0.000, 0.000, 0.000]]}

***

Entry 2:
{"formula": "SrV3P", "functional": "PBE", "state": "relaxed", "delta_e_f_kj_per_mol_atoms": 40, "m_tot_mub_per_atom": 0.595, "total_energy_ev_per_atom": -6.474, "sg": "Pm-3m (221)", "cell": [[4.590, 0.000, 0.000], [0.000, 4.590, 0.000], [0.000, 0.000, 4.590]], "species": ["Sr", "V", "V", "V", "P"], "frac_coords": [[0.000, 0.000, 0.000], [0.000, 0.500, 0.500], [0.500, 0.000, 0.500], [0.500, 0.500, 0.000], [0.500, 0.500, 0.500]]}

***

Entry 3:
{"formula": "Sr2PW", "functional": "PBE", "state": "relaxed", "delta_e_f_kj_per_mol_atoms": 77, "m_tot_mub_per_atom": 0.804, "total_energy_ev_per_atom": -4.638, "sg": "I4/mmm (139)", "cell": [[-2.437, 2.437, 4.377], [2.437, -2.437, 4.377], [2.437, 2.437, -4.377]], "species": ["Sr", "Sr", "P", "W"], "frac_coords": [[0.250, 0.750, 0.500], [0.750, 0.250, 0.500], [0.000, 0.000, 0.000], [0.500, 0.500, 0.000]]}

***

Entry 4:
{"formula": "SrP3W", "functional": "PBE", "state": "relaxed", "delta_e_f_kj_per_mol_atoms": -24, "m_tot_mub_per_atom": 0.000, "total_energy_ev_per_atom": -6.421, "sg": "Pm-3m (221)", "de_polymorph_mev_per_atom": 0, "cell": [[4.782, 0.000, 0.000], [0.000, 4.782, 0.000], [0.000, 0.000, 4.782]], "species": ["Sr", "P", "P", "P", "W"], "frac_coords": [[0.000, 0.000, 0.000], [0.000, 0.500, 0.500], [0.500, 0.000, 0.500], [0.500, 0.500, 0.000], [0.500, 0.500, 0.500]]}

***

Entry 5:
{"formula": "Sr2PW", "functional": "PBE", "state": "relaxed", "delta_e_f_kj_per_mol_atoms": 9, "m_tot_mub_per_atom": 0.000, "total_energy_ev_per_atom": -5.344, "sg": "P4mm (99)", "cell": [[3.389, 0.000, 0.000], [0.000, 3.389, 0.000], [0.000, 0.000, 9.203]], "species": ["Sr", "Sr", "P", "W"], "frac_coords": [[0.000, 0.000, 0.000], [0.500, 0.500, 0.413], [0.500, 0.500, 0.766], [0.000, 0.000, 0.667]]}

***

Entry 6:
{"formula": "Sr2PW", "functional": "PBE", "state": "relaxed", "delta_e_f_kj_per_mol_atoms": 10, "m_tot_mub_per_atom": 0.000, "total_energy_ev_per_atom": -5.332, "sg": "Amm2 (38)", "cell": [[4.169, 0.000, 0.000], [0.000, 2.379, 5.762], [0.000, -2.379, 5.762]], "species": ["Sr", "Sr", "P", "W"], "frac_coords": [[0.000, 0.000, 0.000], [0.500, 0.289, 0.289], [0.500, 0.593, 0.593], [0.000, 0.690, 0.690]]}

***

Entry 7:
{"formula": "Sr2PW", "functional": "PBE", "state": "relaxed", "delta_e_f_kj_per_mol_atoms": 77, "m_tot_mub_per_atom": 0.000, "total_energy_ev_per_atom": -4.638, "sg": "R-3m (166)", "cell": [[1.721, 0.993, 9.882], [-1.721, 0.993, 9.882], [0.000, -1.987, 9.882]], "species": ["Sr", "Sr", "P", "W"], "frac_coords": [[0.242, 0.242, 0.242], [0.758, 0.758, 0.758], [0.500, 0.500, 0.500], [0.000, 0.000, 0.000]]}

***

Entry 8:
{"formula": "Sr2PW", "functional": "PBE", "state": "relaxed", "delta_e_f_kj_per_mol_atoms": 51, "m_tot_mub_per_atom": 0.000, "total_energy_ev_per_atom": -4.900, "sg": "P4/mmm (123)", "cell": [[3.187, 0.000, 0.000], [0.000, 3.187, 0.000], [0.000, 0.000, 9.473]], "species": ["Sr", "Sr", "P", "W"], "frac_coords": [[0.000, 0.000, 0.227], [0.000, 0.000, 0.773], [0.500, 0.500, 0.000], [0.500, 0.500, 0.500]]}

***

Entry 9:
{"formula": "Sr2PW", "functional": "PBE", "state": "relaxed", "delta_e_f_kj_per_mol_atoms": 15, "m_tot_mub_per_atom": 0.000, "total_energy_ev_per_atom": -5.274, "sg": "Imm2 (44)", "cell": [[-1.790, 2.735, 5.444], [1.790, -2.735, 5.444], [1.790, 2.735, -5.444]], "species": ["Sr", "Sr", "P", "W"], "frac_coords": [[0.000, 0.000, 0.000], [0.687, 0.187, 0.500], [0.236, 0.736, 0.500], [0.375, 0.375, 0.000]]}

***

Entry 10:
{"formula": "SrP3W", "functional": "PBE", "state": "relaxed", "delta_e_f_kj_per_mol_atoms": 239, "m_tot_mub_per_atom": 0.000, "total_energy_ev_per_atom": -3.698, "sg": "Pm-3m (221)", "de_polymorph_mev_per_atom": 2723, "cell": [[5.038, 0.000, 0.000], [0.000, 5.038, 0.000], [0.000, 0.000, 5.038]], "species": ["Sr", "P", "P", "P", "W"], "frac_coords": [[0.000, 0.000, 0.000], [0.000, 0.000, 0.500], [0.000, 0.500, 0.000], [0.500, 0.000, 0.000], [0.500, 0.500, 0.500]]}

***

Entry 11:
{"formula": "Sr2PW", "functional": "PBE", "state": "relaxed", "delta_e_f_kj_per_mol_atoms": 80, "m_tot_mub_per_atom": 0.872, "total_energy_ev_per_atom": -4.605, "sg": "I-4m2 (119)", "cell": [[-2.268, 2.268, 5.224], [2.268, -2.268, 5.224], [2.268, 2.268, -5.224]], "species": ["Sr", "Sr", "P", "W"], "frac_coords": [[0.000, 0.000, 0.000], [0.750, 0.250, 0.500], [0.500, 0.500, 0.000], [0.250, 0.750, 0.500]]}

***

Entry 12:
{"formula": "Sr2PW", "functional": "PBE", "state": "relaxed", "delta_e_f_kj_per_mol_atoms": 68, "m_tot_mub_per_atom": 0.811, "total_energy_ev_per_atom": -4.722, "sg": "P4/mmm (123)", "cell": [[4.991, 0.000, 0.000], [0.000, 4.991, 0.000], [0.000, 0.000, 4.224]], "species": ["Sr", "Sr", "P", "W"], "frac_coords": [[0.000, 0.500, 0.000], [0.500, 0.000, 0.000], [0.000, 0.000, 0.500], [0.500, 0.500, 0.500]]}

***

no.,volume (Å³/cell)
1,200.3
2,96.7
3,104.0
4,109.4
5,105.7
6,114.3
7,101.3
8,96.2
9,106.6
10,127.9
11,107.5
12,105.2